No. 1
Material: YNbSb
Method: DFT, PBE
State: optimized geometry

The structure in CIF format:
```
data_YNbSb
_cell_length_a 4.1585
_cell_length_b 4.1585
_cell_length_c 8.1491
_cell_angle_alpha 90.00
_cell_angle_beta 90.00
_cell_angle_gamma 90.00
_space_group_name_H-M_alt 'P 4/n m m'
_space_group_IT_number 129
loop_
_space_group_symop_operation_xyz
'x,y,z'
'-x,-y,-z'
'-y+1/2,x,z'
'y+1/2,-x,-z'
'-x+1/2,-y+1/2,z'
'x+1/2,y+1/2,-z'
'y,-x+1/2,z'
'-y,x+1/2,-z'
'x+1/2,-y,-z'
'-x+1/2,y,z'
'-y,-x,-z'
'y,x,z'
'-x,y+1/2,-z'
'x,-y+1/2,z'
'y+1/2,x+1/2,-z'
'-y+1/2,-x+1/2,z'
loop_
_atom_site_label
_atom_site_type_symbol
_atom_site_fract_x
_atom_site_fract_y
_atom_site_fract_z
Y1 Y 0.2500 0.2500 0.1416
Nb1 Nb 0.2500 0.7500 0.5000
Sb1 Sb 0.2500 0.2500 0.7513
```

Calculated values
The calculation puts the raw total energy at -7.546 eV per atom. The calculation puts the density of states at the Fermi level at 4.354 states/eV per cell. The value obtained for the formation energy (no corrections) is -0.6603 eV/atom. Its spin magnetization is 0.000 μB/cell.

=====

No. 2
Material: Er5P4Se
Method: DFT, PBE
State: optimized geometry

The structure in CIF format:
```
data_Er5P4Se
_cell_length_a 3.9777
_cell_length_b 5.6280
_cell_length_c 19.9612
_cell_angle_alpha 90.00
_cell_angle_beta 90.00
_cell_angle_gamma 90.00
_space_group_name_H-M_alt 'I m m m'
_space_group_IT_number 71
_space_group_name_Hall '-I 2 2'
loop_
_atom_site_label
_atom_site_type_symbol
_atom_site_fract_x
_atom_site_fract_y
_atom_site_fract_z
Er1 Er 0.0000 0.0000 0.0000
Er2 Er 0.0000 0.0000 0.1992
Er3 Er 0.0000 0.0000 0.3923
P1 P 0.0000 0.5000 0.2013
P2 P 0.0000 0.5000 0.4010
Se1 Se 0.0000 0.5000 0.0000
```

Calculated values
The calculation puts the raw total energy at -6.486 eV per atom. The calculation puts the density of states at the Fermi level at 4.807 states/eV per cell. The value obtained for the formation energy (no corrections) is -1.6921 eV/atom. Its spin magnetization is 0.000 μB/cell.

=====

No. 3
Material: K2ScCu2Te4
Method: DFT, PBE
State: optimized geometry

The structure in CIF format:
```
data_K2ScCu2Te4
_cell_length_a 15.5678
_cell_length_b 4.1651
_cell_length_c 8.5157
_cell_angle_alpha 90.00
_cell_angle_beta 108.76
_cell_angle_gamma 90.00
_space_group_name_H-M_alt 'C 1 2/m 1'
_space_group_IT_number 12
_space_group_name_Hall '-C 2y'
loop_
_atom_site_label
_atom_site_type_symbol
_atom_site_fract_x
_atom_site_fract_y
_atom_site_fract_z
K1 K 0.1312 0.0000 0.0582
Sc1 Sc 0.0000 0.0000 0.5000
Cu1 Cu 0.1859 0.5000 0.4871
Te1 Te 0.0196 0.5000 0.2714
Te2 Te 0.1981 0.0000 0.6838
```

Calculated values
The calculation puts the raw total energy at -4.045 eV per atom. The calculation puts the density of states at the Fermi level at 7.142 states/eV per cell. The value obtained for the formation energy (no corrections) is -0.7914 eV/atom. Its spin magnetization is 0.000 μB/cell.

=====

No. 4
Material: BeFe3Hg
Method: DFT, PBE
State: optimized geometry

The structure in CIF format:
```
data_BeFe3Hg
_cell_length_a 4.0553
_cell_length_b 4.0553
_cell_length_c 4.0553
_cell_angle_alpha 90.00
_cell_angle_beta 90.00
_cell_angle_gamma 90.00
_space_group_name_H-M_alt 'P m -3 m'
_space_group_IT_number 221
_space_group_name_Hall '-P 4 2 3'
loop_
_atom_site_label
_atom_site_type_symbol
_atom_site_fract_x
_atom_site_fract_y
_atom_site_fract_z
Be1 Be 0.0000 0.0000 0.0000
Fe1 Fe 0.0000 0.0000 0.5000
Hg1 Hg 0.5000 0.5000 0.5000
```

Calculated values
The value obtained for the polymorph energy (0 for the lowest one) is 0 meV per atom. The calculation puts the raw total energy at -5.364 eV per atom. The calculation puts the density of states at the Fermi level at 6.633 states/eV per cell. The value obtained for the formation enthalpy at 0 K is 0.519 eV per atom. Its spin magnetization is 6.640 μB/cell.

=====

No. 5
Material: BeTe2I
Method: DFT, PBE
State: optimized geometry

The structure in CIF format:
```
data_BeTe2I
_cell_length_a 3.5051
_cell_length_b 3.5051
_cell_length_c 36.4262
_cell_angle_alpha 90.00
_cell_angle_beta 90.00
_cell_angle_gamma 120.00
_space_group_name_H-M_alt 'R -3 m'
_space_group_IT_number 166
_space_group_name_Hall '-R 3 2"'
loop_
_atom_site_label
_atom_site_type_symbol
_atom_site_fract_x
_atom_site_fract_y
_atom_site_fract_z
Be1 Be 0.0000 0.0000 0.0000
Te1 Te 0.0000 0.0000 0.0618
I1 I 0.0000 0.0000 0.5000
```

Calculated values
The value obtained for the polymorph energy (0 for the lowest one) is 204 meV per atom. The calculation puts the raw total energy at -2.546 eV per atom. The calculation puts the density of states at the Fermi level at 7.938 states/eV per cell. The value obtained for the formation energy (no corrections) is 0.3442 eV/atom. Its spin magnetization is 0.000 μB/cell.

=====

No. 6
Material: Li2NdPb2
Method: DFT, PBE
State: optimized geometry

The structure in CIF format:
```
data_Li2NdPb2
_cell_length_a 4.6775
_cell_length_b 4.6774
_cell_length_c 10.9333
_cell_angle_alpha 90.00
_cell_angle_beta 90.01
_cell_angle_gamma 90.00
_space_group_name_H-M_alt 'P 1 21/m 1'
_space_group_IT_number 11
_space_group_name_Hall '-P 2yb'
loop_
_atom_site_label
_atom_site_type_symbol
_atom_site_fract_x
_atom_site_fract_y
_atom_site_fract_z
Li1 Li 0.2488 0.2500 0.0000
Li2 Li 0.2499 0.7500 0.3635
Nd1 Nd 0.2498 0.7500 0.7572
Pb1 Pb 0.2500 0.2500 0.5000
Pb2 Pb 0.2512 0.7500 0.1272
```

Calculated values
The value obtained for the polymorph energy (0 for the lowest one) is 0 meV per atom. The calculation puts the raw total energy at -3.587 eV per atom. The calculation puts the density of states at the Fermi level at 4.160 states/eV per cell. The value obtained for the formation enthalpy at 0 K is -0.384 eV per atom. Its spin magnetization is 0.000 μB/cell.

=====

No. 7
Material: HfMn3Nb2
Method: DFT, PBE
State: optimized geometry

The structure in CIF format:
```
data_HfMn3Nb2
_cell_length_a 3.0950
_cell_length_b 3.0950
_cell_length_c 9.3115
_cell_angle_alpha 90.00
_cell_angle_beta 90.00
_cell_angle_gamma 90.00
_space_group_name_H-M_alt 'P 4/m m m'
_space_group_IT_number 123
_space_group_name_Hall '-P 4 2'
loop_
_atom_site_label
_atom_site_type_symbol
_atom_site_fract_x
_atom_site_fract_y
_atom_site_fract_z
Hf1 Hf 0.0000 0.0000 0.0000
Mn1 Mn 0.5000 0.5000 0.1765
Mn2 Mn 0.5000 0.5000 0.5000
Nb1 Nb 0.0000 0.0000 0.3344
```

Calculated values
The calculation puts the raw total energy at -9.742 eV per atom. The calculation puts the density of states at the Fermi level at 4.950 states/eV per cell. The value obtained for the formation enthalpy at 0 K is -0.142 eV per atom. Its spin magnetization is 0.303 μB/cell.

=====

No. 8
Material: TlPW2
Method: DFT, PBE
State: optimized geometry

The structure in CIF format:
```
data_TlPW2
_cell_length_a 3.0534
_cell_length_b 4.0999
_cell_length_c 11.0978
_cell_angle_alpha 90.00
_cell_angle_beta 90.00
_cell_angle_gamma 90.00
_space_group_name_H-M_alt 'I m m 2'
_space_group_IT_number 44
_space_group_name_Hall 'I 2 -2'
loop_
_atom_site_label
_atom_site_type_symbol
_atom_site_fract_x
_atom_site_fract_y
_atom_site_fract_z
Tl1 Tl 0.0000 0.0000 0.0000
P1 P 0.0000 0.5000 0.7390
W1 W 0.0000 0.0000 0.4062
W2 W 0.0000 0.5000 0.1831
```

Calculated values
The value obtained for the polymorph energy (0 for the lowest one) is 348 meV per atom. The calculation puts the raw total energy at -7.797 eV per atom. The calculation puts the density of states at the Fermi level at 4.320 states/eV per cell. The value obtained for the formation enthalpy at 0 K is 0.624 eV per atom. Its spin magnetization is 0.000 μB/cell.

=====

No. 9
Material: Li2Mg3Sn3Pt
Method: DFT, PBE
State: optimized geometry

The structure in CIF format:
```
data_Li2Mg3Sn3Pt
_cell_length_a 8.1559
_cell_length_b 8.1559
_cell_length_c 3.1820
_cell_angle_alpha 90.00
_cell_angle_beta 90.00
_cell_angle_gamma 120.00
_space_group_name_H-M_alt 'P -6 2 m'
_space_group_IT_number 189
_space_group_name_Hall 'P -6 -2'
loop_
_atom_site_label
_atom_site_type_symbol
_atom_site_fract_x
_atom_site_fract_y
_atom_site_fract_z
Li1 Li 0.3333 0.6667 0.0000
Mg1 Mg 0.0000 0.7347 0.0000
Sn1 Sn 0.0000 0.3766 0.5000
Pt1 Pt 0.0000 0.0000 0.5000
```

Calculated values
The calculation puts the raw total energy at -3.329 eV per atom. The calculation puts the density of states at the Fermi level at 2.918 states/eV per cell. The value obtained for the formation enthalpy at 0 K is -0.367 eV per atom. Its spin magnetization is 0.000 μB/cell.

=====

No. 10
Material: La2PmMnSe5
Method: DFT, PBE
State: optimized geometry

The structure in CIF format:
```
data_La2PmMnSe5
_cell_length_a 4.1592
_cell_length_b 17.6590
_cell_length_c 12.7118
_cell_angle_alpha 90.00
_cell_angle_beta 90.00
_cell_angle_gamma 90.00
_space_group_name_H-M_alt 'C m c 21'
_space_group_IT_number 36
_space_group_name_Hall 'C 2c -2'
loop_
_atom_site_label
_atom_site_type_symbol
_atom_site_fract_x
_atom_site_fract_y
_atom_site_fract_z
La1 La 0.0000 0.1199 0.0000
La2 La 0.0000 0.1204 0.3489
Pm1 Pm 0.0000 0.1822 0.6807
Mn1 Mn 0.0000 0.4478 0.0810
Se1 Se 0.0000 0.0147 0.6744
Se2 Se 0.0000 0.3024 0.3447
Se3 Se 0.0000 0.3121 0.0131
Se4 Se 0.0000 0.3473 0.6731
Se5 Se 0.0000 0.4944 0.4070
```

Calculated values
The calculation puts the raw total energy at -6.225 eV per atom. The calculation puts the density of states at the Fermi level at 14.457 states/eV per cell. The value obtained for the formation energy (no corrections) is -1.6473 eV/atom. Its spin magnetization is 17.333 μB/cell.

=====

No. 11
Material: CoSiTc2
Method: DFT, PBE
State: optimized geometry

The structure in CIF format:
```
data_CoSiTc2
_cell_length_a 2.8925
_cell_length_b 2.8925
_cell_length_c 6.1576
_cell_angle_alpha 90.00
_cell_angle_beta 90.00
_cell_angle_gamma 90.00
_space_group_name_H-M_alt 'P 4/m m m'
_space_group_IT_number 123
_space_group_name_Hall '-P 4 2'
loop_
_atom_site_label
_atom_site_type_symbol
_atom_site_fract_x
_atom_site_fract_y
_atom_site_fract_z
Co1 Co 0.0000 0.0000 0.0000
Si1 Si 0.0000 0.0000 0.5000
Tc1 Tc 0.5000 0.5000 0.2589
```

Calculated values
The calculation puts the raw total energy at -8.467 eV per atom. The calculation puts the density of states at the Fermi level at 3.340 states/eV per cell. The value obtained for the formation energy (no corrections) is -0.1515 eV/atom. Its spin magnetization is 0.932 μB/cell.